# PBE-GGA ErBeOs, relaxed
# E_tot   -6.38 eV per atom
# Volume   17.0 A^3/atom
# E above lowest polymorph   0.0 meV per atom
data_ErBeOs
_chemical_formula_sum 'Er4 Be4 Os4'
_space_group_name_H-M_alt 'F -4 3 m'
_space_group_IT_number 216
_space_group_name_Hall 'F -4 2 3'
_cell_length_a 5.892
_cell_length_b 5.892
_cell_length_c 5.892
_cell_angle_alpha 90.00
_cell_angle_beta 90.00
_cell_angle_gamma 90.00
loop_
_atom_site_label
_atom_site_fract_x
_atom_site_fract_y
_atom_site_fract_z
Er1 0.000 0.000 0.000
Be1 0.250 0.250 0.250
Os1 0.000 0.000 0.500